(1)
Entry from the Alexandria database: a relaxed Dy8AlZn2 crystal (GGA-PBE).

Computed properties:
* Fermi-level density of states: 11.020 states/eV/f.u.
* formation enthalpy at 0 K: -103.9 meV per atom

```
data_Dy8AlZn2
_chemical_formula_sum 'Dy16 Al2 Zn4'
_cell_length_a 4.9311
_cell_length_b 8.2612
_cell_length_c 14.5082
_cell_angle_alpha 90.00
_cell_angle_beta 90.00
_cell_angle_gamma 90.00
_space_group_name_H-M_alt 'I m m m'
_space_group_IT_number 71
_space_group_name_Hall '-I 2 2'
loop_
_atom_site_label
_atom_site_fract_x
_atom_site_fract_y
_atom_site_fract_z
Dy1 0.0000 0.0000 0.1364
Dy2 0.0000 0.2208 0.3377
Dy3 0.0000 0.3134 0.0000
Al1 0.0000 0.5000 0.5000
Zn1 0.0000 0.5000 0.1951
```

(2)
Entry from the Alexandria database: a relaxed Ba2Al3 crystal (GGA-PBE).

Computed properties:
* Fermi-level density of states: 3.713 states/eV/f.u.
* formation enthalpy at 0 K: 398.5 meV per atom

```
data_Ba2Al3
_chemical_formula_sum 'Ba2 Al3'
_cell_length_a 5.4616
_cell_length_b 5.4616
_cell_length_c 7.2209
_cell_angle_alpha 90.00
_cell_angle_beta 90.00
_cell_angle_gamma 120.00
_space_group_name_H-M_alt 'P -3 m 1'
_space_group_IT_number 164
_space_group_name_Hall '-P 3 2"'
loop_
_atom_site_label
_atom_site_fract_x
_atom_site_fract_y
_atom_site_fract_z
Ba1 0.3333 0.6667 0.3176
Al1 0.0000 0.0000 0.5000
Al2 0.3333 0.6667 0.8670
```

(3)
Entry from the Alexandria database: a relaxed Li2CuF4 crystal (GGA-PBE).

Computed properties:
* ΔE_f (raw): -2325.5 meV/atom

```
data_Li2CuF4
_chemical_formula_sum 'Li4 Cu2 F8'
_cell_length_a 3.0166
_cell_length_b 9.4248
_cell_length_c 5.5827
_cell_angle_alpha 90.00
_cell_angle_beta 115.58
_cell_angle_gamma 90.00
_space_group_name_H-M_alt 'P 1 21/c 1'
_space_group_IT_number 14
loop_
_space_group_symop_operation_xyz
'x,y,z'
'-x,-y,-z'
'-x,y+1/2,-z+1/2'
'x,-y+1/2,z+1/2'
loop_
_atom_site_label
_atom_site_fract_x
_atom_site_fract_y
_atom_site_fract_z
Li1 0.2499 0.1501 0.0368
Cu1 0.0000 0.0000 0.5000
F1 0.0227 0.6751 0.1848
F2 0.4316 0.5621 0.6984
```

(4)
Entry from the Alexandria database: a relaxed Mn5Hg crystal (GGA-PBE).

Computed properties:
* Fermi-level density of states: 7.440 states/eV/f.u.
* formation enthalpy at 0 K: 315.1 meV per atom

```
data_Mn5Hg
_chemical_formula_sum 'Mn10 Hg2'
_cell_length_a 8.9244
_cell_length_b 2.8435
_cell_length_c 7.1994
_cell_angle_alpha 90.00
_cell_angle_beta 112.70
_cell_angle_gamma 90.00
_space_group_name_H-M_alt 'C 1 m 1'
_space_group_IT_number 8
loop_
_space_group_symop_operation_xyz
'x,y,z'
'x,-y,z'
'x+1/2,y+1/2,z'
'x+1/2,-y+1/2,z'
loop_
_atom_site_label
_atom_site_fract_x
_atom_site_fract_y
_atom_site_fract_z
Mn1 0.0000 0.0000 0.0000
Mn2 0.0043 0.0000 0.5531
Mn3 0.1600 0.5000 0.8283
Mn4 0.1717 0.5000 0.4022
Mn5 0.3365 0.0000 0.7160
Hg1 0.3325 0.0000 0.1938
```

(5)
Entry from the Alexandria database: a relaxed Zr2TlIn crystal (GGA-PBE).

Computed properties:
* Fermi-level density of states: 2.976 states/eV/f.u.
* formation enthalpy at 0 K: -189.7 meV per atom

```
data_Zr2TlIn
_chemical_formula_sum 'Zr4 Tl2 In2'
_cell_length_a 4.5115
_cell_length_b 4.5115
_cell_length_c 8.8565
_cell_angle_alpha 90.00
_cell_angle_beta 90.00
_cell_angle_gamma 90.00
_space_group_name_H-M_alt 'I 4/m m m'
_space_group_IT_number 139
_space_group_name_Hall '-I 4 2'
loop_
_atom_site_label
_atom_site_fract_x
_atom_site_fract_y
_atom_site_fract_z
Zr1 0.0000 0.5000 0.2500
Tl1 0.0000 0.0000 0.0000
In1 0.0000 0.0000 0.5000
```

(6)
Entry from the Alexandria database: a relaxed Ga2Ag2Au crystal (GGA-PBE).

Computed properties:
* Fermi-level density of states: 1.887 states/eV/f.u.
* formation enthalpy at 0 K: -11.5 meV per atom

```
data_Ga2Ag2Au
_chemical_formula_sum 'Ga4 Ag4 Au2'
_cell_length_a 6.7274
_cell_length_b 6.7274
_cell_length_c 4.0596
_cell_angle_alpha 90.00
_cell_angle_beta 90.00
_cell_angle_gamma 90.00
_space_group_name_H-M_alt 'P 4/m b m'
_space_group_IT_number 127
_space_group_name_Hall '-P 4 2ab'
loop_
_atom_site_label
_atom_site_fract_x
_atom_site_fract_y
_atom_site_fract_z
Ga1 0.1393 0.3607 0.0000
Ag1 0.1576 0.6576 0.5000
Au1 0.0000 0.0000 0.0000
```

(7)
Entry from the Alexandria database: a relaxed NaSnAu2 crystal (GGA-PBE).

Computed properties:
* Fermi-level density of states: 1.872 states/eV/f.u.
* formation enthalpy at 0 K: -64.3 meV per atom

```
data_NaSnAu2
_chemical_formula_sum 'Na3 Sn3 Au6'
_cell_length_a 3.9699
_cell_length_b 3.9699
_cell_length_c 22.3865
_cell_angle_alpha 90.00
_cell_angle_beta 90.00
_cell_angle_gamma 120.00
_space_group_name_H-M_alt 'R 3 m'
_space_group_IT_number 160
_space_group_name_Hall 'R 3 -2"'
loop_
_atom_site_label
_atom_site_fract_x
_atom_site_fract_y
_atom_site_fract_z
Na1 0.0000 0.0000 0.0000
Sn1 0.0000 0.0000 0.8323
Au1 0.0000 0.0000 0.4250
Au2 0.0000 0.0000 0.5743
```

(8)
Entry from the Alexandria database: a relaxed NaNiPt2 crystal (GGA-PBE).

Computed properties:
* Fermi-level density of states: 3.860 states/eV/f.u.
* formation enthalpy at 0 K: 367.0 meV per atom

```
data_NaNiPt2
_chemical_formula_sum 'Na4 Ni4 Pt8'
_cell_length_a 4.7969
_cell_length_b 4.7969
_cell_length_c 16.4274
_cell_angle_alpha 90.00
_cell_angle_beta 90.00
_cell_angle_gamma 90.00
_space_group_name_H-M_alt 'I -4 2 d'
_space_group_IT_number 122
_space_group_name_Hall 'I -4 2bw'
loop_
_atom_site_label
_atom_site_fract_x
_atom_site_fract_y
_atom_site_fract_z
Na1 0.0000 0.0000 0.0000
Ni1 0.0000 0.0000 0.5000
Pt1 0.0734 0.2500 0.6250
```

(9)
Entry from the Alexandria database: a relaxed LiYZrTc crystal (GGA-PBE).

Computed properties:
* Fermi-level density of states: 2.311 states/eV/f.u.
* formation enthalpy at 0 K: -77.4 meV per atom

```
data_LiYZrTc
_chemical_formula_sum 'Li4 Y4 Zr4 Tc4'
_cell_length_a 6.7927
_cell_length_b 6.7927
_cell_length_c 6.7927
_cell_angle_alpha 90.00
_cell_angle_beta 90.00
_cell_angle_gamma 90.00
_space_group_name_H-M_alt 'F -4 3 m'
_space_group_IT_number 216
_space_group_name_Hall 'F -4 2 3'
loop_
_atom_site_label
_atom_site_fract_x
_atom_site_fract_y
_atom_site_fract_z
Li1 0.0000 0.0000 0.0000
Y1 0.2500 0.2500 0.2500
Zr1 0.2500 0.2500 0.7500
Tc1 0.0000 0.0000 0.5000
```

(10)
Entry from the Alexandria database: a relaxed HfZrSc2 crystal (GGA-PBE).

Computed properties:
* Fermi-level density of states: 5.830 states/eV/f.u.
* formation enthalpy at 0 K: 47.3 meV per atom

```
data_HfZrSc2
_chemical_formula_sum 'Hf1 Zr1 Sc2'
_cell_length_a 3.1739
_cell_length_b 3.1739
_cell_length_c 9.1807
_cell_angle_alpha 90.00
_cell_angle_beta 90.00
_cell_angle_gamma 90.00
_space_group_name_H-M_alt 'P 4/m m m'
_space_group_IT_number 123
_space_group_name_Hall '-P 4 2'
loop_
_atom_site_label
_atom_site_fract_x
_atom_site_fract_y
_atom_site_fract_z
Hf1 0.0000 0.0000 0.0000
Zr1 0.0000 0.0000 0.5000
Sc1 0.5000 0.5000 0.2470
```

(11)
Entry from the Alexandria database: a relaxed Tb4Cu2N crystal (GGA-PBE).

Computed properties:
* Fermi-level density of states: 8.243 states/eV/f.u.
* ΔE_f (raw): -492.7 meV/atom

```
data_Tb4Cu2N
_chemical_formula_sum 'Tb8 Cu4 N2'
_cell_length_a 4.7784
_cell_length_b 4.7784
_cell_length_c 13.6765
_cell_angle_alpha 90.00
_cell_angle_beta 90.00
_cell_angle_gamma 90.00
_space_group_name_H-M_alt 'I 4/m m m'
_space_group_IT_number 139
_space_group_name_Hall '-I 4 2'
loop_
_atom_site_label
_atom_site_fract_x
_atom_site_fract_y
_atom_site_fract_z
Tb1 0.0000 0.0000 0.1800
Tb2 0.0000 0.5000 0.0000
Cu1 0.0000 0.0000 0.3798
N1 0.0000 0.0000 0.0000
```

(12)
Entry from the Alexandria database: a relaxed SmAlGaPd crystal (GGA-PBE).

Computed properties:
* Fermi-level density of states: 1.901 states/eV/f.u.
* formation enthalpy at 0 K: -604.6 meV per atom

```
data_SmAlGaPd
_chemical_formula_sum 'Sm4 Al4 Ga4 Pd4'
_cell_length_a 6.7627
_cell_length_b 6.7627
_cell_length_c 6.7627
_cell_angle_alpha 90.00
_cell_angle_beta 90.00
_cell_angle_gamma 90.00
_space_group_name_H-M_alt 'F -4 3 m'
_space_group_IT_number 216
_space_group_name_Hall 'F -4 2 3'
loop_
_atom_site_label
_atom_site_fract_x
_atom_site_fract_y
_atom_site_fract_z
Sm1 0.0000 0.0000 0.0000
Al1 0.0000 0.0000 0.5000
Ga1 0.2500 0.2500 0.7500
Pd1 0.2500 0.2500 0.2500
```

Calculated VASP energy, -88.50 -13.08 -63.38 -88.52 -45.92 -30.18 -36.40 -70.86 -110.41 -30.98 -76.97 -76.40 eV for the cell shown (same order as the records).